1.
8
Lattice="-0.0467 -5.2085 -1.0403 4.5670 -2.5860 -0.8178 2.0641 -4.2989 7.8704" Properties=species:S:1:pos:R:3 comment="CePmTm2Hg4 (PBE, optimized geometry)" space_group="R-3m (166)" n_ef_per_ev_cell=14.885 e_tot_ev_per_atom=-3.020 pbc="T T T"
Ce 3.2922 -6.0467 3.0061
Pm 0.0000 0.0000 0.0000
Tm 4.9373 -9.0673 4.4955
Tm 1.6470 -3.0261 1.5168
Hg 3.5018 -6.6864 6.1994
Hg 4.7285 -8.4300 1.3139
Hg 1.8558 -3.6634 4.6983
Hg 3.0825 -5.4070 -0.1872

***

2.
4
Lattice="-2.1304 2.6083 4.2977 0.7162 -1.9926 5.0327 3.2740 2.5880 3.5206" Properties=species:S:1:pos:R:3 comment="CePmYHg (PBE, optimized geometry)" space_group="F-43m (216)" n_ef_per_ev_cell=8.393 e_tot_ev_per_atom=-4.382 pbc="T T T"
Y 1.3949 2.4028 9.6382
Hg 0.0000 0.0000 0.0000
Ce 0.4650 0.8009 3.2127
Pm 0.9299 1.6018 6.4255

***

3.
4
Lattice="3.6995 0.0000 0.0000 0.0000 3.6995 0.0000 0.0000 0.0000 7.6003" Properties=species:S:1:pos:R:3 comment="CePmZnHg (PBE, optimized geometry)" space_group="P4mm (99)" e_above_lowest_polymorph_mev_per_atom=0 n_ef_per_ev_cell=9.386 e_tot_ev_per_atom=-3.374 pbc="T T T"
Ce 1.8497 1.8497 0.9492
Pm 1.8497 1.8497 4.4847
Zn 0.0000 0.0000 2.7333
Hg 0.0000 0.0000 6.4858

***

4.
4
Lattice="5.3026 0.0000 0.0000 2.6513 4.5921 0.0000 2.6513 1.5307 4.3295" Properties=species:S:1:pos:R:3 comment="CePmZnHg (PBE, optimized geometry)" space_group="F-43m (216)" e_above_lowest_polymorph_mev_per_atom=24 n_ef_per_ev_cell=10.105 e_tot_ev_per_atom=-3.350 pbc="T T T"
Zn 0.0000 0.0000 0.0000
Hg 5.3026 3.0614 2.1648
Ce 2.6513 1.5307 1.0824
Pm 7.9538 4.5921 3.2471

***

5.
4
Lattice="-3.6839 -0.4749 -0.4171 -1.2972 -2.4148 -2.5410 -1.4961 -8.2232 5.8298" Properties=species:S:1:pos:R:3 comment="CePrHg2 (PBE, optimized geometry)" space_group="R-3m (166)" e_above_lowest_polymorph_mev_per_atom=158 n_ef_per_ev_cell=7.543 e_tot_ev_per_atom=-3.049 pbc="T T T"
Pr -3.2386 -5.5565 1.4359
Hg -4.8578 -8.3415 2.1601
Hg -1.6195 -2.7715 0.7116
Ce 0.0000 0.0000 0.0000

***

6.
12
Lattice="5.5113 0.0000 0.0000 0.0000 5.2545 0.0000 0.0000 -2.6273 12.1389" Properties=species:S:1:pos:R:3 comment="Ce2Pr3Hg7 (PBE, optimized geometry)" space_group="Cmmm (65)" n_ef_per_ev_cell=21.139 e_tot_ev_per_atom=-2.638 pbc="T T T"
Ce 0.0000 2.6273 8.6537
Ce 0.0000 0.0000 3.4851
Pr 2.7557 2.6273 0.0000
Pr 2.7557 2.6273 4.0374
Pr 2.7557 0.0000 8.1015
Hg 0.0000 0.0000 10.3449
Hg 0.0000 2.6273 5.4535
Hg 0.0000 0.0000 0.0000
Hg 0.0000 2.6273 1.7940
Hg 2.7557 0.0000 1.9617
Hg 2.7557 2.6273 10.1772
Hg 0.0000 0.0000 6.6854

***

7.
8
Lattice="-0.7937 3.1014 -2.1452 -3.3145 -1.6192 -1.1147 -7.2251 6.4901 12.0562" Properties=species:S:1:pos:R:3 comment="CePr3Hg4 (PBE, optimized geometry)" space_group="P4/mmm (123)" n_ef_per_ev_cell=14.892 e_tot_ev_per_atom=-3.110 pbc="T T T"
Pr -3.8542 2.3581 1.3739
Pr -5.6666 3.9861 4.3982
Pr -7.4791 5.6142 7.4225
Hg -6.3377 5.6930 10.5756
Hg -0.8873 0.7971 1.4807
Hg -2.7057 2.4305 4.5149
Hg -4.5194 4.0596 7.5413
Ce -2.0541 0.7411 -1.6299

***

8.
9
Lattice="-2.9383 -1.6297 0.8446 4.5483 -5.5323 5.1483 -3.2034 7.5078 3.3421" Properties=species:S:1:pos:R:3 comment="CePr2Hg6 (PBE, optimized geometry)" space_group="P6/mmm (191)" n_ef_per_ev_cell=10.501 e_tot_ev_per_atom=-2.334 pbc="T T T"
Ce -3.2033 7.5078 3.3421
Pr -0.6195 3.1611 3.9442
Pr -0.9739 -2.8153 5.3908
Hg -1.0214 -0.1572 3.2490
Hg -0.5720 0.5029 6.0860
Hg -3.6060 4.1934 2.6518
Hg -1.6385 3.0025 7.1987
Hg 0.0451 -2.6567 2.1363
Hg 2.0126 -3.8476 6.6833

***

| no. | formation energy (eV/f.u.) |
| --- | --- |
| 1 | -3.33 |
| 2 | -0.08 |
| 3 | -1.24 |
| 4 | -1.14 |
| 5 | -0.88 |
| 6 | -3.34 |
| 7 | -3.40 |
| 8 | -3.70 |